No. 1
An optimized crystal structure of La2CrP, computed with PBE-GGA.

Values from the calculation:
Crystal system: trigonal
Space group: No. 166
Formation energy (eV per atom): -0.33

Cell: 8.112 8.112 8.112 Å, 29.49 29.49 29.49°
Fractional coordinates of all 4 atoms:
La 0.241 0.241 0.241
La 0.759 0.759 0.759
Cr 0.000 0.000 0.000
P 0.500 0.500 0.500



No. 2
An optimized crystal structure of SnP2IrS, computed with PBE-GGA.

Values from the calculation:
Crystal system: tetragonal
Space group: No. 123
ΔE to the lowest computed polymorph (eV per atom): 0.0000

Cell: 4.503 4.503 5.309 Å, 90.00 90.00 90.00°
Fractional coordinates of all 5 atoms:
Sn 0.000 0.000 0.000
P 0.000 0.500 0.500
P 0.500 0.000 0.500
Ir 0.500 0.500 0.500
S 0.500 0.500 0.000



No. 3
An optimized crystal structure of CsZnAu, computed with PBE-GGA.

Values from the calculation:
Crystal system: triclinic
Space group: No. 2
ΔE to the lowest computed polymorph (eV per atom): 0.0299
Formation energy (eV per atom): -0.19

Cell: 5.034 6.964 7.099 Å, 101.02 106.82 96.67°
Fractional coordinates of all 6 atoms:
Cs 0.212 0.201 0.319
Cs 0.788 0.799 0.681
Zn 0.413 0.652 0.113
Zn 0.587 0.348 0.887
Au 0.058 0.338 0.821
Au 0.942 0.662 0.179



No. 4
An optimized crystal structure of CaHf2Ge, computed with PBE-GGA.

Values from the calculation:
Crystal system: tetragonal
Space group: No. 122
Formation energy (eV per atom): 0.27

Cell: 6.530 6.530 6.530 Å, 101.59 101.59 126.74°
Fractional coordinates of all 8 atoms:
Ca 0.000 0.000 0.000
Ca 0.750 0.250 0.500
Hf 0.185 0.125 0.560
Hf 0.375 0.815 0.940
Hf 0.565 0.625 0.440
Hf 0.875 0.435 0.060
Ge 0.250 0.750 0.500
Ge 0.500 0.500 0.000



| no. | E (eV per atom) |
| --- | --- |
| 1 | -6.5568 |
| 2 | -5.1641 |
| 3 | -1.9950 |
| 4 | -6.3585 |